LiFePO4: relaxed, PBE+U.

magnetization	0.571	μB per atom
energy relative to the lowest polymorph listed for this composition	12	meV per atom

Cell lengths 5.1241, 10.2230, 13.6996 Å; angles 90.00, 90.00, 90.00 degrees
Closest atoms and distances in Å follow each position.
Sites, in units of the cell vectors:
O  0.0564  0.7840  0.2790  1 P 1.56
O  0.5580  0.5312  0.5300  1 P 1.55
O  0.5614  0.5315  0.7167  1 P 1.56
O  0.9836  0.5691  0.3698  1 P 1.56
O  0.4420  0.0312  0.5300  1 P 1.55
O  0.9209  0.2736  0.4656  1 P 1.56
O  0.9436  0.2160  0.7790  1 P 1.56
O  0.0164  0.0691  0.3698  1 P 1.56
O  0.3545  0.2460  0.8770  1 P 1.56
O  0.1421  0.4879  0.6232  1 P 1.56
O  0.1421  0.0121  0.1232  1 P 1.56
O  0.0564  0.7160  0.7790  1 P 1.56
O  0.4858  0.8193  0.6238  1 P 1.56
O  0.4420  0.4688  0.0300  1 P 1.55
O  0.5614  0.9685  0.2167  1 P 1.56
O  0.6455  0.7460  0.8770  1 P 1.56
O  0.5580  0.9688  0.0300  1 P 1.55
O  0.0164  0.4309  0.8698  1 P 1.56
O  0.9836  0.9309  0.8698  1 P 1.56
O  0.6455  0.7540  0.3770  1 P 1.56
O  0.4386  0.0315  0.7167  1 P 1.56
O  0.0791  0.7736  0.4656  1 P 1.56
O  0.5142  0.3193  0.6238  1 P 1.56
O  0.0791  0.7264  0.9656  1 P 1.56
O  0.9209  0.2264  0.9656  1 P 1.56
O  0.5142  0.1807  0.1238  1 P 1.56
O  0.4386  0.4685  0.2167  1 P 1.56
O  0.9436  0.2840  0.2790  1 P 1.56
O  0.3545  0.2540  0.3770  1 P 1.56
O  0.4858  0.6807  0.1238  1 P 1.56
O  0.8579  0.5121  0.1232  1 P 1.56
O  0.8579  0.9879  0.6232  1 P 1.56
Li  0.9471  0.9701  0.2463  4 O 2.00-2.03
Li  0.4441  0.7846  0.9989  4 O 2.00-2.03
Li  0.4441  0.7154  0.4989  4 O 2.00-2.03
Li  0.0529  0.4701  0.2463  4 O 2.00-2.03
Li  0.0529  0.0299  0.7463  4 O 2.00-2.03
Li  0.5559  0.2154  0.4989  4 O 2.00-2.03
Li  0.5559  0.2846  0.9989  4 O 2.00-2.03
Li  0.9471  0.5299  0.7463  4 O 2.00-2.03
Fe  0.5514  0.2803  0.2504  4 O 2.02-2.06
Fe  0.5514  0.2197  0.7504  4 O 2.02-2.06
Fe  0.9326  0.4695  0.4976  4 O 2.04-2.07
Fe  0.9326  0.0305  0.9976  4 O 2.04-2.07
Fe  0.0674  0.5305  0.9976  4 O 2.04-2.07
Fe  0.0674  0.9695  0.4976  4 O 2.04-2.07
Fe  0.4486  0.7197  0.7504  4 O 2.02-2.06
Fe  0.4486  0.7803  0.2504  4 O 2.02-2.06
P  0.5567  0.9675  0.6237  4 O 1.55-1.56
P  0.9418  0.7198  0.3726  4 O 1.56
P  0.0582  0.2198  0.3726  4 O 1.56
P  0.9418  0.7802  0.8726  4 O 1.56
P  0.4433  0.0325  0.1237  4 O 1.55-1.56
P  0.0582  0.2802  0.8726  4 O 1.56
P  0.5567  0.5325  0.1237  4 O 1.55-1.56
P  0.4433  0.4675  0.6237  4 O 1.55-1.56